Compound: CaMn2Cr
Source: Alexandria
Functional: PBE
Structure: relaxed

For the calculated volume, the calculation gives 72.7 Å³/f.u. The formation energy comes out at 0.455 eV per atom. For the size of the total moment, the calculation gives 4.2 μB per cell. For the energy relative to the lowest polymorph listed for this composition, the calculation gives 0.075 eV per atom.

Unit cell a=3.098 b=3.098 c=7.569 alpha=90.00 beta=90.00 gamma=90.00
Space group P4mm (No. 99)
Asymmetric unit:
Ca 0.000 0.000 0.000 [1 per cell]
Mn 0.000 0.000 0.491 [1 per cell]
Mn 0.500 0.500 0.682 [1 per cell]
Cr 0.500 0.500 0.322 [1 per cell]

Compound: CaMn2Cr
Source: Alexandria
Functional: PBE
Structure: relaxed

For the calculated volume, the calculation gives 73.1 Å³/f.u. The formation energy comes out at 0.631 eV per atom. For the size of the total moment, the calculation gives 16.5 μB per cell. For the energy relative to the lowest polymorph listed for this composition, the calculation gives 0.251 eV per atom.

Unit cell a=6.637 b=6.637 c=6.637 alpha=90.00 beta=90.00 gamma=90.00
Space group F-43m (No. 216)
Asymmetric unit:
Ca 0.000 0.000 0.000 [4 per cell]
Mn 0.000 0.000 0.500 [4 per cell]
Mn 0.250 0.250 0.250 [4 per cell]
Cr 0.250 0.250 0.750 [4 per cell]

Compound: Ca3MnCr
Source: Alexandria
Functional: PBE
Structure: relaxed

For the calculated volume, the calculation gives 161.1 Å³/f.u. The formation energy comes out at 1.342 eV per atom. For the size of the total moment, the calculation gives 3.2 μB per cell. For the energy relative to the lowest polymorph listed for this composition, the calculation gives 0.386 eV per atom.

Unit cell a=5.441 b=5.441 c=5.441 alpha=90.00 beta=90.00 gamma=90.00
Space group Pm-3m (No. 221)
Asymmetric unit:
Ca 0.000 0.000 0.500 [3 per cell]
Mn 0.000 0.000 0.000 [1 per cell]
Cr 0.500 0.500 0.500 [1 per cell]

Look up the calculated volume of the third one. 161.1 Å³/f.u.

Copy entry 2 word for word.
Compound: CaMn2Cr
Source: Alexandria
Functional: PBE
Structure: relaxed

For the calculated volume, the calculation gives 73.1 Å³/f.u. The formation energy comes out at 0.631 eV per atom. For the size of the total moment, the calculation gives 16.5 μB per cell. For the energy relative to the lowest polymorph listed for this composition, the calculation gives 0.251 eV per atom.

Unit cell a=6.637 b=6.637 c=6.637 alpha=90.00 beta=90.00 gamma=90.00
Space group F-43m (No. 216)
Asymmetric unit:
Ca 0.000 0.000 0.000 [4 per cell]
Mn 0.000 0.000 0.500 [4 per cell]
Mn 0.250 0.250 0.250 [4 per cell]
Cr 0.250 0.250 0.750 [4 per cell]

Copy entry 1 word for word.
Compound: CaMn2Cr
Source: Alexandria
Functional: PBE
Structure: relaxed

For the calculated volume, the calculation gives 72.7 Å³/f.u. The formation energy comes out at 0.455 eV per atom. For the size of the total moment, the calculation gives 4.2 μB per cell. For the energy relative to the lowest polymorph listed for this composition, the calculation gives 0.075 eV per atom.

Unit cell a=3.098 b=3.098 c=7.569 alpha=90.00 beta=90.00 gamma=90.00
Space group P4mm (No. 99)
Asymmetric unit:
Ca 0.000 0.000 0.000 [1 per cell]
Mn 0.000 0.000 0.491 [1 per cell]
Mn 0.500 0.500 0.682 [1 per cell]
Cr 0.500 0.500 0.322 [1 per cell]

Among the records above, which one has the highest size of the total moment? number 2